This record from Alexandria describes a geometry-optimized InNiIr2Rh structure. The functional is GGA-PBE.

Computed properties:
density = 12.00 g cm⁻³
electronic total energy = -5.671 eV/atom

a b c (Å): 4.5006 4.5006 4.5137
angles (deg): 90.00 90.00 90.00
Last column: nearest neighbours and their distance in Å.
Sites, in units of the cell vectors:
In: 0.0000 0.0000 0.0000  4 Rh 3.18, 8 Ir 3.19
Ni: 0.5000 0.5000 0.5000  4 Ir 2.25, 2 Rh 2.26
Ir: 0.0000 0.5000 0.5000  2 Ni 2.25
Ir: 0.5000 0.0000 0.5000  2 Ni 2.25
Rh: 0.5000 0.5000 0.0000  2 Ni 2.26